Arrangement a

Material: Be2TcBr
Method: DFT, GGA-PBE
State: relaxed

a = 4.228 Å, b = 4.228 Å, c = 4.228 Å
α = 60.00°, β = 60.00°, γ = 60.00°
Fractional coordinates of all 4 atoms:
Be1 0.000 0.000 0.000
Be2 0.250 0.250 0.250
Tc1 0.500 0.500 0.500
Br1 0.750 0.750 0.750

Size of the total moment ... 0.01 μB per formula unit
Crystal system ... cubic
Space group ... No. 216

***

Arrangement b

Material: Be2TcBr
Method: DFT, GGA-PBE
State: relaxed

a = 4.745 Å, b = 4.745 Å, c = 4.745 Å
α = 135.12°, β = 135.12°, γ = 65.34°
Fractional coordinates of all 4 atoms:
Be1 0.250 0.750 0.500
Be2 0.750 0.250 0.500
Tc1 0.000 0.000 0.000
Br1 0.500 0.500 0.000

Size of the total moment ... 0.06 μB per formula unit
Crystal system ... tetragonal
Space group ... No. 139

***

Referenced to the most stable arrangement, the calculated values in meV/atom are arrangement a 114; arrangement b 0.

***

Arrangement a

Material: Be2TcBr
Method: DFT, GGA-PBE
State: relaxed

a = 6.905 Å, b = 6.905 Å, c = 6.905 Å
α = 30.43°, β = 30.43°, γ = 30.43°
Fractional coordinates of all 4 atoms:
Be1 0.000 0.000 0.000
Be2 0.333 0.333 0.333
Tc1 0.612 0.612 0.612
Br1 0.853 0.853 0.853

Size of the total moment ... 2.01 μB per formula unit
Crystal system ... trigonal
Space group ... No. 160

***

Arrangement b

Material: Be2TcBr
Method: DFT, GGA-PBE
State: relaxed

a = 7.207 Å, b = 7.207 Å, c = 7.207 Å
α = 24.59°, β = 24.59°, γ = 24.59°
Fractional coordinates of all 4 atoms:
Be1 0.243 0.243 0.243
Be2 0.757 0.757 0.757
Tc1 0.500 0.500 0.500
Br1 0.000 0.000 0.000

Size of the total moment ... 0.00 μB per formula unit
Crystal system ... trigonal
Space group ... No. 166

***

Arrangement c

Material: Be2TcBr
Method: DFT, GGA-PBE
State: relaxed

a = 4.213 Å, b = 4.213 Å, c = 4.213 Å
α = 60.00°, β = 60.00°, γ = 60.00°
Fractional coordinates of all 4 atoms:
Be1 0.250 0.250 0.250
Be2 0.750 0.750 0.750
Tc1 0.000 0.000 0.000
Br1 0.500 0.500 0.500

Size of the total moment ... 0.00 μB per formula unit
Crystal system ... cubic
Space group ... No. 225

***

Referenced to the most stable arrangement, the calculated values in meV/atom are arrangement a 0; arrangement b 157; arrangement c 788.

***

Arrangement a

Material: Be2TcBr
Method: DFT, GGA-PBE
State: relaxed

a = 3.263 Å, b = 3.572 Å, c = 4.489 Å
α = 90.00°, β = 90.00°, γ = 90.00°
Fractional coordinates of all 4 atoms:
Be1 0.000 0.000 0.000
Be2 0.000 0.500 0.500
Tc1 0.500 0.000 0.500
Br1 0.500 0.500 0.000

Size of the total moment ... 0.00 μB per formula unit
Crystal system ... orthorhombic
Space group ... No. 47

***

Arrangement b

Material: Be2TcBr
Method: DFT, GGA-PBE
State: relaxed

a = 3.165 Å, b = 3.104 Å, c = 5.843 Å
α = 90.00°, β = 102.14°, γ = 90.00°
Fractional coordinates of all 4 atoms:
Be1 0.080 0.000 0.177
Be2 0.920 0.000 0.823
Tc1 0.500 0.500 0.000
Br1 0.500 0.500 0.500

Size of the total moment ... 0.00 μB per formula unit
Crystal system ... monoclinic
Space group ... No. 10

***

Referenced to the most stable arrangement, the calculated values in meV/atom are arrangement a 378; arrangement b 0.

***

Arrangement a

Material: Be2TcBr
Method: DFT, GGA-PBE
State: relaxed

a = 3.128 Å, b = 3.128 Å, c = 5.717 Å
α = 90.00°, β = 90.00°, γ = 90.00°
Fractional coordinates of all 4 atoms:
Be1 0.000 0.000 0.174
Be2 0.000 0.000 0.826
Tc1 0.500 0.500 0.000
Br1 0.500 0.500 0.500

Size of the total moment ... 0.00 μB per formula unit
Crystal system ... tetragonal
Space group ... No. 123

***

Arrangement b

Material: Be2TcBr
Method: DFT, GGA-PBE
State: relaxed

a = 3.054 Å, b = 3.054 Å, c = 7.155 Å
α = 90.00°, β = 90.00°, γ = 90.19°
Fractional coordinates of all 4 atoms:
Be1 0.000 0.000 0.000
Be2 0.500 0.500 0.171
Tc1 0.000 0.000 0.305
Br1 0.500 0.500 0.814

Size of the total moment ... 0.00 μB per formula unit
Crystal system ... orthorhombic
Space group ... No. 35

***

Referenced to the most stable arrangement, the calculated values in meV/atom are arrangement a 0; arrangement b 177.

***

Arrangement a

Material: Be2TcBr
Method: DFT, GGA-PBE
State: relaxed

a = 4.277 Å, b = 4.277 Å, c = 4.799 Å
α = 92.05°, β = 92.05°, γ = 44.71°
Fractional coordinates of all 4 atoms:
Be1 0.200 0.200 0.391
Be2 0.800 0.800 0.609
Tc1 0.500 0.500 0.500
Br1 0.000 0.000 0.000

Size of the total moment ... 0.00 μB per formula unit
Crystal system ... monoclinic
Space group ... No. 12

***

Arrangement b

Material: Be2TcBr
Method: DFT, GGA-PBE
State: relaxed

a = 4.744 Å, b = 4.744 Å, c = 4.744 Å
α = 141.43°, β = 128.01°, γ = 66.57°
Fractional coordinates of all 4 atoms:
Be1 0.000 0.000 0.000
Be2 0.788 0.288 0.500
Tc1 0.547 0.547 0.000
Br1 0.247 0.747 0.500

Size of the total moment ... 0.00 μB per formula unit
Crystal system ... orthorhombic
Space group ... No. 44

***

Arrangement c

Material: Be2TcBr
Method: DFT, GGA-PBE
State: relaxed

a = 4.891 Å, b = 4.891 Å, c = 2.907 Å
α = 106.58°, β = 106.58°, γ = 113.36°
Fractional coordinates of all 4 atoms:
Be1 0.000 0.500 0.000
Be2 0.500 0.000 0.000
Tc1 0.000 0.000 0.500
Br1 0.500 0.500 0.500

Size of the total moment ... 0.00 μB per formula unit
Crystal system ... monoclinic
Space group ... No. 12

***

Referenced to the most stable arrangement, the calculated values in meV/atom are arrangement a 0; arrangement b 121; arrangement c 241.

***

Arrangement a

Material: BeTcBr2
Method: DFT, GGA-PBE
State: relaxed

a = 3.521 Å, b = 3.521 Å, c = 8.083 Å
α = 90.00°, β = 90.00°, γ = 126.15°
Fractional coordinates of all 4 atoms:
Be1 0.000 0.000 0.000
Tc1 0.000 0.000 0.500
Br1 0.500 0.500 0.203
Br2 0.500 0.500 0.797

Size of the total moment ... 3.11 μB per formula unit
Crystal system ... orthorhombic
Space group ... No. 65

***

Arrangement b

Material: BeTcBr2
Method: DFT, GGA-PBE
State: relaxed

a = 3.260 Å, b = 3.446 Å, c = 7.623 Å
α = 90.00°, β = 90.09°, γ = 90.00°
Fractional coordinates of all 4 atoms:
Be1 0.000 0.000 0.000
Tc1 0.500 0.500 0.935
Br1 0.501 0.000 0.222
Br2 0.999 0.500 0.682

Size of the total moment ... 1.07 μB per formula unit
Crystal system ... monoclinic
Space group ... No. 6

***

Arrangement c

Material: BeTcBr2
Method: DFT, GGA-PBE
State: relaxed

a = 8.075 Å, b = 8.075 Å, c = 8.075 Å
α = 156.75°, β = 155.00°, γ = 34.41°
Fractional coordinates of all 4 atoms:
Be1 0.000 0.000 0.000
Tc1 0.500 0.500 0.000
Br1 0.370 0.870 0.500
Br2 0.630 0.130 0.500

Size of the total moment ... 0.00 μB per formula unit
Crystal system ... orthorhombic
Space group ... No. 71

***

Referenced to the most stable arrangement, the calculated values in meV/atom are arrangement a 664; arrangement b 46; arrangement c 0.

***

Arrangement a

Material: BeTcBr2
Method: DFT, GGA-PBE
State: relaxed

a = 4.834 Å, b = 4.834 Å, c = 4.834 Å
α = 60.00°, β = 60.00°, γ = 60.00°
Fractional coordinates of all 4 atoms:
Be1 0.000 0.000 0.000
Tc1 0.750 0.750 0.750
Br1 0.250 0.250 0.250
Br2 0.500 0.500 0.500

Size of the total moment ... 3.30 μB per formula unit
Crystal system ... cubic
Space group ... No. 216

***

Arrangement b

Material: BeTcBr2
Method: DFT, GGA-PBE
State: relaxed

a = 3.222 Å, b = 3.222 Å, c = 7.953 Å
α = 90.00°, β = 90.00°, γ = 90.00°
Fractional coordinates of all 4 atoms:
Be1 0.000 0.000 0.000
Tc1 0.500 0.500 0.895
Br1 0.000 0.000 0.674
Br2 0.500 0.500 0.208

Size of the total moment ... 0.84 μB per formula unit
Crystal system ... tetragonal
Space group ... No. 99

***

Referenced to the most stable arrangement, the calculated values in meV/atom are arrangement a 1025; arrangement b 0.

***

Arrangement a

Material: BeTcBr2
Method: DFT, GGA-PBE
State: relaxed

a = 3.419 Å, b = 3.419 Å, c = 9.595 Å
α = 90.00°, β = 90.00°, γ = 124.61°
Fractional coordinates of all 4 atoms:
Be1 0.000 0.000 0.000
Tc1 0.500 0.500 0.203
Br1 0.000 0.000 0.407
Br2 0.500 0.500 0.845

Size of the total moment ... 2.04 μB per formula unit
Crystal system ... orthorhombic
Space group ... No. 35

***

Arrangement b

Material: BeTcBr2
Method: DFT, GGA-PBE
State: relaxed

a = 4.542 Å, b = 4.542 Å, c = 4.542 Å
α = 60.00°, β = 60.00°, γ = 60.00°
Fractional coordinates of all 4 atoms:
Be1 0.000 0.000 0.000
Tc1 0.500 0.500 0.500
Br1 0.250 0.250 0.250
Br2 0.750 0.750 0.750

Size of the total moment ... 0.00 μB per formula unit
Crystal system ... cubic
Space group ... No. 225

***

Referenced to the most stable arrangement, the calculated values in meV/atom are arrangement a 0; arrangement b 657.

***

Arrangement a

Material: BeTcBr2
Method: DFT, GGA-PBE
State: relaxed

a = 8.136 Å, b = 8.136 Å, c = 3.448 Å
α = 92.69°, β = 92.69°, γ = 23.32°
Fractional coordinates of all 4 atoms:
Be1 0.000 0.000 0.000
Tc1 0.500 0.500 0.500
Br1 0.126 0.126 0.528
Br2 0.874 0.874 0.472

Size of the total moment ... 0.00 μB per formula unit
Crystal system ... monoclinic
Space group ... No. 12

***

Arrangement b

Material: BeTcBr2
Method: DFT, GGA-PBE
State: relaxed

a = 3.630 Å, b = 3.630 Å, c = 8.194 Å
α = 95.42°, β = 95.42°, γ = 53.14°
Fractional coordinates of all 4 atoms:
Be1 0.000 0.000 0.000
Tc1 0.726 0.726 0.146
Br1 0.268 0.268 0.380
Br2 0.613 0.613 0.833

Size of the total moment ... 0.00 μB per formula unit
Crystal system ... monoclinic
Space group ... No. 8

***

Referenced to the most stable arrangement, the calculated values in meV/atom are arrangement a 0; arrangement b 14.

***

Arrangement a

Material: BeTcBr2
Method: DFT, GGA-PBE
State: relaxed

a = 8.030 Å, b = 8.030 Å, c = 8.030 Å
α = 23.41°, β = 23.41°, γ = 23.41°
Fractional coordinates of all 4 atoms:
Be1 0.000 0.000 0.000
Tc1 0.500 0.500 0.500
Br1 0.394 0.394 0.394
Br2 0.606 0.606 0.606

Size of the total moment ... 1.23 μB per formula unit
Crystal system ... trigonal
Space group ... No. 166

***

Arrangement b

Material: BeTcBr2
Method: DFT, GGA-PBE
State: relaxed

a = 5.202 Å, b = 5.202 Å, c = 3.420 Å
α = 106.03°, β = 106.03°, γ = 106.74°
Fractional coordinates of all 4 atoms:
Be1 0.000 0.000 0.000
Tc1 0.500 0.500 0.000
Br1 0.000 0.500 0.000
Br2 0.500 0.000 0.000

Size of the total moment ... 2.22 μB per formula unit
Crystal system ... monoclinic
Space group ... No. 12

***

Referenced to the most stable arrangement, the calculated values in meV/atom are arrangement a 0; arrangement b 390.

***

Arrangement a

Material: BeTc2Br
Method: DFT, GGA-PBE
State: relaxed

a = 6.302 Å, b = 6.302 Å, c = 6.302 Å
α = 129.34°, β = 129.34°, γ = 74.46°
Fractional coordinates of all 8 atoms:
Be1 0.000 0.000 0.000
Be2 0.750 0.250 0.500
Tc1 0.080 0.625 0.955
Tc2 0.375 0.330 0.455
Tc3 0.670 0.125 0.045
Tc4 0.875 0.920 0.545
Br1 0.250 0.750 0.500
Br2 0.500 0.500 0.000

Size of the total moment ... 1.04 μB per formula unit
Crystal system ... tetragonal
Space group ... No. 122

***

Arrangement b

Material: BeTc2Br
Method: DFT, GGA-PBE
State: relaxed

a = 3.242 Å, b = 3.242 Å, c = 6.848 Å
α = 103.79°, β = 103.79°, γ = 59.96°
Fractional coordinates of all 4 atoms:
Be1 0.000 0.000 0.000
Tc1 0.275 0.275 0.827
Tc2 0.725 0.725 0.173
Br1 0.500 0.500 0.500

Size of the total moment ... 0.00 μB per formula unit
Crystal system ... monoclinic
Space group ... No. 12

***

Arrangement c

Material: BeTc2Br
Method: DFT, GGA-PBE
State: relaxed

a = 3.761 Å, b = 3.248 Å, c = 6.195 Å
α = 90.00°, β = 91.02°, γ = 90.00°
Fractional coordinates of all 4 atoms:
Be1 0.000 0.000 0.000
Tc1 0.326 0.500 0.858
Tc2 0.674 0.500 0.142
Br1 0.500 0.000 0.500

Size of the total moment ... 0.00 μB per formula unit
Crystal system ... monoclinic
Space group ... No. 10

***

Referenced to the most stable arrangement, the calculated values in meV/atom are arrangement a 822; arrangement b 0; arrangement c 41.

***

Arrangement a

Material: BeTcBr
Method: DFT, GGA-PBE
State: relaxed

a = 6.628 Å, b = 6.628 Å, c = 6.628 Å
α = 153.91°, β = 153.91°, γ = 37.24°
Fractional coordinates of all 3 atoms:
Be1 0.000 0.000 0.000
Tc1 0.591 0.591 0.000
Br1 0.225 0.225 0.000

Size of the total moment ... 0.00 μB per formula unit
Crystal system ... tetragonal
Space group ... No. 107

***

Arrangement b

Material: BeTcBr
Method: DFT, GGA-PBE
State: relaxed

a = 3.146 Å, b = 3.358 Å, c = 4.858 Å
α = 89.84°, β = 71.17°, γ = 89.95°
Fractional coordinates of all 3 atoms:
Be1 0.000 0.000 0.000
Tc1 0.551 0.501 0.897
Br1 0.270 0.531 0.456

Size of the total moment ... 0.00 μB per formula unit
Crystal system ... triclinic
Space group ... No. 1

***

Referenced to the most stable arrangement, the calculated values in meV/atom are arrangement a 83; arrangement b 0.